VASP calculation (PBE+U) on crystalline Sr2TaMnO at its relaxed geometry.

a b c (Å): 6.0860 4.4207 6.0860
angles (deg): 90.00 90.00 90.00
Last column: nearest neighbours and their distance in Å.
Element x y z (fractional)
1 Sr 0.0000 0.0000 0.5000  2 Ta 3.04
2 Sr 0.5000 0.0000 0.0000  2 Ta 3.04
3 Mn 0.0000 0.5000 0.0000  2 Ta 2.21
4 O 0.5000 0.5000 0.5000  8 Sr 3.76
5 Ta 0.0000 0.0000 0.0000  2 Mn 2.21

The value obtained for the total magnetic moment is 1.35 μB per formula unit. The value obtained for the uncorrected energy is -4.04 eV/atom. For the density of states at the Fermi level, the calculation gives 0.826 states/eV/atom.